Entry 1:
This record from Alexandria via LeMat-Bulk describes an optimized crystal structure of Sm6Rh2SCl3. The functional is PBE.

Values from the calculation:
raw formation energy	-1525	kJ/mol of formula units
E_tot	-5.707	eV per atom

a = 7.1145 Å, b = 7.1145 Å, c = 7.5666 Å
α = 98.89°, β = 98.89°, γ = 119.99°
Closest atoms and distances in Å follow each position.
Positions (direct):
Sm  0.9296  0.5826  0.7907  2 Rh 2.76, 1 S 2.90
Sm  0.7198  0.7198  0.2063  2 Rh 2.77, 1 S 2.89, 1 Cl 3.09
Sm  0.0704  0.4174  0.2093  2 Rh 2.76, 1 S 2.90
Sm  0.5826  0.9296  0.7907  2 Rh 2.76, 1 S 2.90
Sm  0.2802  0.2802  0.7937  2 Rh 2.77, 1 S 2.89, 1 Cl 3.09
Sm  0.4174  0.0704  0.2093  2 Rh 2.76, 1 S 2.90
Rh  0.3319  0.6681  0.0000  6 Sm 2.76-2.77
Rh  0.6681  0.3319  0.0000  6 Sm 2.76-2.77
S  0.0000  0.0000  0.0000  6 Sm 2.89-2.90
Cl  0.1557  0.8443  0.5000  6 Sm 3.14-3.20
Cl  0.8443  0.1557  0.5000  6 Sm 3.14-3.20
Cl  0.5000  0.5000  0.5000  6 Sm 3.09-3.20

Entry 2:
This record from Alexandria via LeMat-Bulk describes an optimized crystal structure of SnRhSCl2. The functional is PBE.

Values from the calculation:
raw formation energy	184	kJ/mol of formula units
E_tot	-3.453	eV per atom
ΔE to the lowest computed polymorph	0.604	eV/atom

a = 5.1989 Å, b = 5.1989 Å, c = 5.0780 Å
α = 90.00°, β = 90.00°, γ = 90.00°
Closest atoms and distances in Å follow each position.
Positions (direct):
S  0.0000  0.0000  0.5000  2 Sn 2.54
Rh  0.5000  0.5000  0.5000  8 Cl 3.63, 4 S 3.68
Sn  0.0000  0.0000  0.0000  2 S 2.54, 4 Cl 2.60
Cl  0.0000  0.5000  0.0000  2 Sn 2.60
Cl  0.5000  0.0000  0.0000  2 Sn 2.60

Entry 3:
This record from Alexandria via LeMat-Bulk describes an optimized crystal structure of SnRhSCl2. The functional is PBE.

Values from the calculation:
raw formation energy	-107	kJ/mol of formula units
E_tot	-4.057	eV per atom
ΔE to the lowest computed polymorph	0.000	eV/atom

a = 4.7462 Å, b = 4.7462 Å, c = 4.8357 Å
α = 90.00°, β = 90.00°, γ = 90.00°
Closest atoms and distances in Å follow each position.
Positions (direct):
S  0.0000  0.0000  0.5000  2 Rh 2.42
Rh  0.0000  0.0000  0.0000  4 Cl 2.37, 2 S 2.42
Sn  0.5000  0.5000  0.5000  4 S 3.36, 8 Cl 3.39
Cl  0.0000  0.5000  0.0000  2 Rh 2.37
Cl  0.5000  0.0000  0.0000  2 Rh 2.37

Entry 4:
This record from Alexandria via LeMat-Bulk describes an optimized crystal structure of SnRh2SCl. The functional is PBE.

Values from the calculation:
raw formation energy	68	kJ/mol of formula units
E_tot	-4.796	eV per atom

a = 4.3234 Å, b = 6.0471 Å, c = 4.3234 Å
α = 90.00°, β = 90.00°, γ = 90.00°
Closest atoms and distances in Å follow each position.
Positions (direct):
S  0.0000  0.0000  0.0000  4 Rh 2.16
Rh  0.0000  0.0000  0.5000  2 S 2.16
Rh  0.5000  0.0000  0.0000  2 S 2.16
Sn  0.0000  0.5000  0.0000  2 S 3.02, 4 Cl 3.06
Cl  0.5000  0.5000  0.5000  4 Sn 3.06

Entry 5:
This record from Alexandria via LeMat-Bulk describes an optimized crystal structure of TcRhS2Cl. The functional is PBE.

Values from the calculation:
raw formation energy	299	kJ/mol of formula units
E_tot	-4.944	eV per atom
ΔE to the lowest computed polymorph	0.000	eV/atom

a = 4.5209 Å, b = 4.5209 Å, c = 5.0038 Å
α = 90.00°, β = 90.00°, γ = 90.00°
Closest atoms and distances in Å follow each position.
Positions (direct):
S  0.0000  0.5000  0.0000  2 Tc 2.26
S  0.5000  0.0000  0.0000  2 Tc 2.26
Rh  0.5000  0.5000  0.5000  4 Cl 3.20, 8 S 3.37
Tc  0.0000  0.0000  0.0000  4 S 2.26, 2 Cl 2.50
Cl  0.0000  0.0000  0.5000  2 Tc 2.50

Entry 6:
This record from Alexandria via LeMat-Bulk describes an optimized crystal structure of TcRhSCl2. The functional is PBE.

Values from the calculation:
raw formation energy	281	kJ/mol of formula units
E_tot	-4.526	eV per atom
ΔE to the lowest computed polymorph	0.000	eV/atom

a = 4.7135 Å, b = 4.7135 Å, c = 4.7749 Å
α = 90.00°, β = 90.00°, γ = 90.00°
Closest atoms and distances in Å follow each position.
Positions (direct):
S  0.0000  0.0000  0.5000  2 Rh 2.39
Rh  0.0000  0.0000  0.0000  4 Cl 2.36, 2 S 2.39
Tc  0.5000  0.5000  0.5000  4 S 3.33, 8 Cl 3.35
Cl  0.0000  0.5000  0.0000  2 Rh 2.36
Cl  0.5000  0.0000  0.0000  2 Rh 2.36

Entry 7:
This record from Alexandria via LeMat-Bulk describes an optimized crystal structure of TcRhSCl2. The functional is PBE.

Values from the calculation:
raw formation energy	305	kJ/mol of formula units
E_tot	-4.476	eV per atom
ΔE to the lowest computed polymorph	0.049	eV/atom

a = 4.8210 Å, b = 4.8210 Å, c = 4.4878 Å
α = 90.00°, β = 90.00°, γ = 90.00°
Closest atoms and distances in Å follow each position.
Positions (direct):
S  0.0000  0.0000  0.5000  2 Tc 2.24
Rh  0.5000  0.5000  0.5000  8 Cl 3.29, 4 S 3.41
Tc  0.0000  0.0000  0.0000  2 S 2.24, 4 Cl 2.41
Cl  0.0000  0.5000  0.0000  2 Tc 2.41
Cl  0.5000  0.0000  0.0000  2 Tc 2.41

Entry 8:
This record from Alexandria via LeMat-Bulk describes an optimized crystal structure of TcRhS2Cl. The functional is PBE.

Values from the calculation:
raw formation energy	345	kJ/mol of formula units
E_tot	-4.849	eV per atom
ΔE to the lowest computed polymorph	0.095	eV/atom

a = 4.6802 Å, b = 4.6802 Å, c = 4.6732 Å
α = 90.00°, β = 90.00°, γ = 90.00°
Closest atoms and distances in Å follow each position.
Positions (direct):
S  0.0000  0.5000  0.0000  2 Rh 2.34
S  0.5000  0.0000  0.0000  2 Rh 2.34
Rh  0.0000  0.0000  0.0000  2 Cl 2.34, 4 S 2.34
Tc  0.5000  0.5000  0.5000  8 S 3.31, 4 Cl 3.31
Cl  0.0000  0.0000  0.5000  2 Rh 2.34

Entry 9:
This record from Alexandria via LeMat-Bulk describes an optimized crystal structure of TiRhS2Cl. The functional is PBE.

Values from the calculation:
raw formation energy	-24	kJ/mol of formula units
E_tot	-5.119	eV per atom
ΔE to the lowest computed polymorph	0.000	eV/atom

a = 4.7213 Å, b = 4.7213 Å, c = 4.6409 Å
α = 90.00°, β = 90.00°, γ = 90.00°
Closest atoms and distances in Å follow each position.
Positions (direct):
S  0.0000  0.5000  0.0000  2 Ti 2.36
S  0.5000  0.0000  0.0000  2 Ti 2.36
Cl  0.0000  0.0000  0.5000  2 Ti 2.32
Rh  0.5000  0.5000  0.5000  8 S 3.31, 4 Cl 3.34
Ti  0.0000  0.0000  0.0000  2 Cl 2.32, 4 S 2.36

Entry 10:
This record from Alexandria via LeMat-Bulk describes an optimized crystal structure of TiRhSCl2. The functional is PBE.

Values from the calculation:
raw formation energy	-86	kJ/mol of formula units
E_tot	-4.791	eV per atom
ΔE to the lowest computed polymorph	0.000	eV/atom

a = 4.7201 Å, b = 4.7201 Å, c = 4.8108 Å
α = 90.00°, β = 90.00°, γ = 90.00°
Closest atoms and distances in Å follow each position.
Positions (direct):
S  0.0000  0.0000  0.5000  2 Ti 2.41
Cl  0.0000  0.5000  0.0000  2 Ti 2.36
Cl  0.5000  0.0000  0.0000  2 Ti 2.36
Rh  0.5000  0.5000  0.5000  4 S 3.34, 8 Cl 3.37
Ti  0.0000  0.0000  0.0000  4 Cl 2.36, 2 S 2.41

Entry 11:
This record from Alexandria via LeMat-Bulk describes an optimized crystal structure of TiRhSCl2. The functional is PBE.

Values from the calculation:
raw formation energy	74	kJ/mol of formula units
E_tot	-4.459	eV per atom
ΔE to the lowest computed polymorph	0.332	eV/atom

a = 4.6685 Å, b = 4.6685 Å, c = 4.7757 Å
α = 90.00°, β = 90.00°, γ = 90.00°
Closest atoms and distances in Å follow each position.
Positions (direct):
S  0.0000  0.0000  0.5000  2 Rh 2.39
Cl  0.0000  0.5000  0.0000  2 Rh 2.33
Cl  0.5000  0.0000  0.0000  2 Rh 2.33
Rh  0.0000  0.0000  0.0000  4 Cl 2.33, 2 S 2.39
Ti  0.5000  0.5000  0.5000  4 S 3.30, 8 Cl 3.34

Entry 12:
This record from Alexandria via LeMat-Bulk describes an optimized crystal structure of TiRhS2Cl. The functional is PBE.

Values from the calculation:
raw formation energy	86	kJ/mol of formula units
E_tot	-4.890	eV per atom
ΔE to the lowest computed polymorph	0.229	eV/atom

a = 4.6623 Å, b = 4.6623 Å, c = 4.5641 Å
α = 90.00°, β = 90.00°, γ = 90.00°
Closest atoms and distances in Å follow each position.
Positions (direct):
S  0.0000  0.5000  0.0000  2 Rh 2.33
S  0.5000  0.0000  0.0000  2 Rh 2.33
Cl  0.0000  0.0000  0.5000  2 Rh 2.28
Rh  0.0000  0.0000  0.0000  2 Cl 2.28, 4 S 2.33
Ti  0.5000  0.5000  0.5000  8 S 3.26, 4 Cl 3.30